Below is an optimized crystal structure of AgTeAsO, with properties calculated at the GGA-PBE level.

Calculated values
**Relative energy among the computed polymorphs**: 760 meV per atom
**E_tot**: -3.53 eV per atom

Unit cell a=4.593 b=4.593 c=7.359 alpha=90.00 beta=90.00 gamma=90.00
Space group P4/nmm (No. 129, origin choice 2)
Asymmetric unit:
Ag  0.250  0.250  0.083 x2
Te  0.250  0.750  0.500 x2
As  0.250  0.250  0.732 x2
O  0.250  0.750  0.000 x2